First-principles (PBE-GGA) data for a relaxed structure of LiCr2Pt, as listed in Alexandria via LeMat-Bulk.

Cell: 3.2363 3.2363 5.8818 Å, 90.00 90.00 90.00°
Last column: nearest neighbours and their distance in Å.
Element x y z (fractional)
Cr: 0.0000 0.0000 0.9874  4 Pt 2.68, 4 Li 2.76, 1 Cr 2.79
Cr: 0.0000 0.0000 0.5126  4 Pt 2.68, 4 Li 2.76, 1 Cr 2.79
Li: 0.5000 0.5000 0.2500  8 Cr 2.76, 2 Pt 2.94
Pt: 0.5000 0.5000 0.7500  8 Cr 2.68, 2 Li 2.94

Computed properties:
E_tot in Ry/atom: -0.4755
Size of the total moment in μB per formula unit: 7.3

=====

First-principles (PBE-GGA) data for a relaxed structure of Li2CrPt, as listed in Alexandria via LeMat-Bulk.

Cell: 5.2512 5.2512 5.2512 Å, 147.91 129.68 60.94°
Last column: nearest neighbours and their distance in Å.
Element x y z (fractional)
Cr: 0.7500 0.2500 0.5000  4 Pt 2.66, 4 Li 2.79, 2 Cr 2.90
Li: 0.0130 0.0130 0.0000  2 Pt 2.59, 4 Li 2.67, 2 Cr 2.79
Li: 0.4870 0.4870 0.0000  2 Pt 2.59, 4 Li 2.67, 2 Cr 2.79
Pt: 0.2500 0.7500 0.5000  4 Li 2.59, 4 Cr 2.66

Computed properties:
E_tot in Ry/atom: -0.3688
Size of the total moment in μB per formula unit: 3.6

=====

First-principles (PBE-GGA) data for a relaxed structure of Li2CrPt, as listed in Alexandria via LeMat-Bulk.

Cell: 9.4254 9.4254 9.4254 Å, 16.62 16.62 16.62°
Last column: nearest neighbours and their distance in Å.
Element x y z (fractional)
Cr: 0.7536 0.7536 0.7536  3 Pt 2.69, 6 Cr 2.72, 3 Li 2.78
Li: 0.0046 0.0046 0.0046  6 Li 2.72, 3 Cr 2.78
Li: 0.2433 0.2433 0.2433  3 Pt 2.69, 6 Li 2.72
Pt: 0.4985 0.4985 0.4985  3 Li 2.69, 3 Cr 2.69, 6 Pt 2.72

Computed properties:
E_tot in Ry/atom: -0.3529
Size of the total moment in μB per formula unit: 2.1

=====

First-principles (PBE-GGA) data for a relaxed structure of LiCr2Pt, as listed in Alexandria via LeMat-Bulk.

Cell: 3.1912 3.8928 4.3030 Å, 90.00 90.00 90.00°
Last column: nearest neighbours and their distance in Å.
Element x y z (fractional)
Cr: 0.0000 0.0000 0.0000  4 Cr 2.52, 4 Li 2.68
Cr: 0.5000 0.5000 0.0000  4 Cr 2.52, 4 Pt 2.68
Li: 0.5000 0.0000 0.5000  4 Pt 2.52, 4 Cr 2.68
Pt: 0.0000 0.5000 0.5000  4 Li 2.52, 4 Cr 2.68

Computed properties:
E_tot in Ry/atom: -0.5073
Size of the total moment in μB per formula unit: 0.5